A PBEsol-optimized structure of KCl2, computed with SCAN.

The crystal system is hexagonal. Its total energy is -55.8 eV per cell. The uncorrected formation energy is -1.197 eV per atom.

The space group is P6_3/mmc (No. 194) and the conventional cell measures 5.5328, 5.5328 and 5.7709 Å, with angles of 90.00, 90.00 and 120.00 degrees. Symmetry generates all atoms from K at (0.3333, 0.6667, 0.2500), Cl at (0.0000, 0.0000, 0.0000) and Cl at (0.3333, 0.6667, 0.7500).



A PBEsol-optimized structure of KCl4, computed with SCAN.

The crystal system is tetragonal. Its total energy is -88.2 eV per cell. The uncorrected formation energy is -0.771 eV per atom.

The space group is I4/m (No. 87) and the conventional cell measures 8.3337, 8.3337 and 4.7412 Å, with angles of 90.00, 90.00 and 90.00 degrees. Symmetry generates all atoms from K at (0.0000, 0.0000, 0.0000) and Cl at (0.2318, 0.2487, 0.5000).



A PBEsol-optimized structure of KCl3, computed with SCAN.

The crystal system is cubic. Its total energy is -71.2 eV per cell. The uncorrected formation energy is -0.838 eV per atom.

The space group is Pm-3n (No. 223) and the conventional cell measures 5.6095, 5.6095 and 5.6095 Å, with angles of 90.00, 90.00 and 90.00 degrees. Symmetry generates all atoms from K at (0.0000, 0.0000, 0.0000) and Cl at (0.0000, 0.2500, 0.5000).



A PBEsol-optimized structure of K3Cl, computed with SCAN.

The crystal system is monoclinic. Its total energy is -74.2 eV per cell. The energy above the lowest structure with this stoichiometry is 0 meV per atom. The uncorrected formation energy is -1.034 eV per atom.

The space group is C2/m (No. 12) and the conventional cell measures 7.7054, 4.4749 and 11.8238 Å, with angles of 90.00, 102.11 and 90.00 degrees. Symmetry generates all atoms from K at (0.0000, 0.0000, 0.0000), K at (0.2167, 0.0000, 0.6585) and Cl at (0.0000, 0.5000, 0.5000).